1.
DFT (PBE-GGA) results for an optimized crystal structure of BaHfAuI2.

spin magnetization	1.4	μB/f.u.
SG	P4/mmm, No. 123
uncorrected formation energy	0.801	eV per atom

Cell lengths 6.4118, 7.8418, 6.4118 Å; angles 90.00, 90.00, 90.00 degrees
Last column: nearest neighbours and their distance in Å.
Sites, in units of the cell vectors:
1 I 0.0000 0.0000 0.5000  2 Ba 3.21
2 I 0.5000 0.0000 0.0000  2 Ba 3.21
3 Hf 0.0000 0.5000 0.0000  2 Ba 3.92
4 Ba 0.0000 0.0000 0.0000  4 I 3.21
5 Au 0.5000 0.5000 0.5000  4 Hf 4.53, 8 I 5.06

---

2.
DFT (PBE-GGA) results for an optimized crystal structure of BaLiHfAu2.

spin magnetization	0.0	μB/f.u.
SG	P4/mmm, No. 123
calculated total energy	-0.14840	hartree per atom

Cell lengths 5.2884, 5.3645, 5.2884 Å; angles 90.00, 90.00, 90.00 degrees
Last column: nearest neighbours and their distance in Å.
Sites, in units of the cell vectors:
1 Ba 0.5000 0.5000 0.5000  4 Li 3.74, 8 Au 3.77
2 Au 0.0000 0.0000 0.5000  2 Hf 2.64
3 Au 0.5000 0.0000 0.0000  2 Hf 2.64
4 Li 0.0000 0.5000 0.0000  2 Hf 2.68
5 Hf 0.0000 0.0000 0.0000  4 Au 2.64, 2 Li 2.68

---

3.
DFT (PBE-GGA) results for an optimized crystal structure of BaHfMgAu2.

spin magnetization	1.8	μB/f.u.
SG	P4/mmm, No. 123
calculated total energy	-0.09871	hartree per atom

Cell lengths 5.6525, 5.8300, 5.6525 Å; angles 90.00, 90.00, 90.00 degrees
Last column: nearest neighbours and their distance in Å.
Sites, in units of the cell vectors:
1 Au 0.0000 0.0000 0.5000  2 Ba 2.83
2 Au 0.5000 0.0000 0.0000  2 Ba 2.83
3 Ba 0.0000 0.0000 0.0000  4 Au 2.83, 2 Mg 2.92
4 Mg 0.0000 0.5000 0.0000  2 Ba 2.92
5 Hf 0.5000 0.5000 0.5000  4 Mg 4.00, 8 Au 4.06

---

4.
DFT (PBE-GGA) results for an optimized crystal structure of Ba2HfNbAu.

spin magnetization	4.6	μB/f.u.
SG	P4/mmm, No. 123
calculated total energy	-0.16484	hartree per atom

Cell lengths 6.2585, 5.2007, 6.2585 Å; angles 90.00, 90.00, 90.00 degrees
Last column: nearest neighbours and their distance in Å.
Sites, in units of the cell vectors:
1 Hf 0.0000 0.5000 0.0000  2 Au 2.60
2 Ba 0.0000 0.0000 0.5000  2 Au 3.13
3 Ba 0.5000 0.0000 0.0000  2 Au 3.13
4 Au 0.0000 0.0000 0.0000  2 Hf 2.60
5 Nb 0.5000 0.5000 0.5000  8 Ba 4.07, 4 Hf 4.43

---

5.
DFT (PBE-GGA) results for an optimized crystal structure of Ba2HfAuO.

spin magnetization	1.8	μB/f.u.
SG	P4/mmm, No. 123
uncorrected formation energy	0.522	eV per atom

Cell lengths 6.3296, 4.9911, 6.3296 Å; angles 90.00, 90.00, 90.00 degrees
Last column: nearest neighbours and their distance in Å.
Sites, in units of the cell vectors:
1 Au 0.0000 0.5000 0.0000  2 Hf 2.50
2 Ba 0.5000 0.0000 0.0000  2 Hf 3.16
3 Ba 0.0000 0.0000 0.5000  2 Hf 3.16
4 O 0.5000 0.5000 0.5000  8 Ba 4.03, 4 Au 4.48
5 Hf 0.0000 0.0000 0.0000  2 Au 2.50

---

6.
DFT (PBE-GGA) results for an optimized crystal structure of Ba2HfPAu.

spin magnetization	0.0	μB/f.u.
SG	P4/mmm, No. 123
calculated total energy	-0.15512	hartree per atom

Cell lengths 6.1739, 5.1565, 6.1739 Å; angles 90.00, 90.00, 90.00 degrees
Last column: nearest neighbours and their distance in Å.
Sites, in units of the cell vectors:
1 Ba 0.5000 0.0000 0.0000  2 Au 3.09
2 Ba 0.0000 0.0000 0.5000  2 Au 3.09
3 Au 0.0000 0.0000 0.0000  2 Hf 2.58
4 Hf 0.0000 0.5000 0.0000  2 Au 2.58
5 P 0.5000 0.5000 0.5000  8 Ba 4.02, 4 Hf 4.37